# 1
A geometry-optimized Mn2RhW structure. Source: Alexandria, functional PBE-GGA.

Total magnetic moment: 5.15 μB per formula unit

Unit cell a=3.681 b=3.681 c=9.323 alpha=78.62 beta=78.62 gamma=90.00
Positions (direct):
Mn (0.626, 0.125, 0.250)
Mn (0.124, 0.625, 0.250)
Mn (0.375, 0.374, 0.750)
Mn (0.875, 0.876, 0.750)
Rh (0.500, 0.500, 0.000)
Rh (0.250, 0.750, 0.500)
W (0.000, 0.000, 0.000)
W (0.750, 0.250, 0.500)

# 2
A geometry-optimized YCo2Re structure. Source: Alexandria, functional PBE-GGA.

Total magnetic moment: 3.63 μB per formula unit

Unit cell a=4.464 b=4.464 c=3.094 alpha=90.00 beta=90.00 gamma=90.00
Positions (direct):
Co (0.000, 0.000, 0.000)
Co (0.500, 0.500, 0.000)
Re (0.500, 0.000, 0.500)
Y (0.000, 0.500, 0.500)

One value per record, in order, for E_form: 0.631 0.232 eV/atom.
One value per record, in order, for VASP energy: -72.24 -32.19 eV for the cell shown.